(1)
A geometry-optimized YNCl3 structure, computed with PBE.

The distance to the lowest polymorph of the same formula comes out at 25 meV/atom. The crystal system is cubic.

It has space group Pm-3m (No. 221), with a = 5.299 Å, b = 5.299 Å, c = 5.299 Å, α = 90.00°, β = 90.00° and γ = 90.00°. Symmetry generates all atoms from Y at (0.000, 0.000, 0.000), N at (0.500, 0.500, 0.500) and Cl at (0.000, 0.000, 0.500).

(2)
A geometry-optimized YNCl3 structure, computed with PBE.

The distance to the lowest polymorph of the same formula comes out at 876 meV/atom. The crystal system is cubic.

It has space group Pm-3m (No. 221), with a = 4.508 Å, b = 4.508 Å, c = 4.508 Å, α = 90.00°, β = 90.00° and γ = 90.00°. Symmetry generates all atoms from Y at (0.000, 0.000, 0.000), N at (0.500, 0.500, 0.500) and Cl at (0.000, 0.500, 0.500).

(3)
A geometry-optimized Y2NCl2 structure, computed with PBE.

The crystal system is trigonal. The energy is -6.956 eV per atom.

It has space group R-3m (No. 166, hexagonal axes), with a = 3.6166 Å, b = 3.6166 Å, c = 30.1298 Å, α = 90.00°, β = 90.00° and γ = 120.00°. Symmetry generates all atoms from Y at (0.0000, 0.0000, 0.1233), N at (0.0000, 0.0000, 0.5000) and Cl at (0.0000, 0.0000, 0.2691).

(4)
A geometry-optimized YN3Cl structure, computed with PBE.

The crystal system is cubic. The energy is -5.412 eV per atom.

It has space group Pm-3m (No. 221), with a = 3.824 Å, b = 3.824 Å, c = 3.824 Å, α = 90.00°, β = 90.00° and γ = 90.00°. Symmetry generates all atoms from Y at (0.000, 0.000, 0.000), N at (0.000, 0.500, 0.500) and Cl at (0.500, 0.500, 0.500).

(5)
A geometry-optimized YN2Cl4 structure, computed with PBE.

The crystal system is monoclinic. The energy is -4.055 eV per atom.

It has space group C2/m (No. 12), with a = 18.924 Å, b = 3.990 Å, c = 6.498 Å, α = 90.00°, β = 109.10° and γ = 90.00°. Symmetry generates all atoms from Y at (0.000, 0.000, 0.000), N at (0.234, 0.500, 0.736), Cl at (0.058, 0.000, 0.676) and Cl at (0.093, 0.500, 0.182).

(6)
A geometry-optimized Y2NCl3 structure, computed with PBE.

The crystal system is monoclinic. The energy is -6.581 eV per atom.

It has space group C2/m (No. 12), with a = 16.779 Å, b = 3.844 Å, c = 10.924 Å, α = 90.00°, β = 122.75° and γ = 90.00°. Symmetry generates all atoms from Y at (0.082, 0.000, 0.457), Y at (0.137, 0.500, 0.792), N at (0.076, 0.000, 0.657), Cl at (0.044, 0.500, 0.252), Cl at (0.168, 0.000, 0.012) and Cl at (0.218, 0.500, 0.614).

(7)
A geometry-optimized Y4NCl5 structure, computed with PBE.

The crystal system is monoclinic. The energy is -6.205 eV per atom.

It has space group C2/m (No. 12), with a = 16.867 Å, b = 3.668 Å, c = 7.735 Å, α = 90.00°, β = 103.59° and γ = 90.00°. Symmetry generates all atoms from Y at (0.002, 0.000, 0.293), Y at (0.143, 0.500, 0.579), N at (0.000, 0.500, 0.500), Cl at (0.000, 0.500, 0.000), Cl at (0.163, 0.000, 0.844) and Cl at (0.172, 0.000, 0.332).

(8)
A geometry-optimized YN3Cl structure, computed with PBE.

The crystal system is cubic. The energy is -5.153 eV per atom.

It has space group Pm-3m (No. 221), with a = 4.627 Å, b = 4.627 Å, c = 4.627 Å, α = 90.00°, β = 90.00° and γ = 90.00°. Symmetry generates all atoms from Y at (0.000, 0.000, 0.000), N at (0.000, 0.000, 0.500) and Cl at (0.500, 0.500, 0.500).

(9)
A geometry-optimized Zn3NCl2 structure, computed with PBE.

The crystal system is monoclinic. The energy is -2.899 eV per atom.

It has space group C2/c (No. 15), with a = 11.556 Å, b = 7.080 Å, c = 6.469 Å, α = 90.00°, β = 114.48° and γ = 90.00°. Symmetry generates all atoms from Zn at (0.000, 0.147, 0.250), Zn at (0.119, 0.476, 0.606), N at (0.000, 0.422, 0.250) and Cl at (0.154, 0.078, 0.742).

(10)
A geometry-optimized Zn5N2Cl2 structure, computed with PBE.

The crystal system is monoclinic. The energy is -3.027 eV per atom.

It has space group C2/m (No. 12), with a = 16.264 Å, b = 3.529 Å, c = 9.047 Å, α = 90.00°, β = 112.71° and γ = 90.00°. Symmetry generates all atoms from Zn at (0.000, 0.000, 0.000), Zn at (0.151, 0.000, 0.344), Zn at (0.207, 0.000, 0.041), N at (0.118, 0.000, 0.125) and Cl at (0.158, 0.500, 0.524).

(11)
A geometry-optimized Zn4N2Cl structure, computed with PBE.

The crystal system is orthorhombic. The energy is -3.288 eV per atom.

It has space group Pnma (No. 62), with a = 17.426 Å, b = 6.261 Å, c = 5.091 Å, α = 90.00°, β = 90.00° and γ = 90.00°. Symmetry generates all atoms from Zn at (0.025, 0.250, 0.226), Zn at (0.043, 0.750, 0.290), Zn at (0.099, 0.023, 0.777), N at (0.000, 0.000, 0.500), N at (0.087, 0.750, 0.949) and Cl at (0.194, 0.250, 0.614).

(12)
A geometry-optimized Zn2N2Cl3 structure, computed with PBE.

The crystal system is triclinic. The energy is -4.018 eV per atom.

It has space group P-1 (No. 2), with a = 4.605 Å, b = 6.549 Å, c = 7.228 Å, α = 74.61°, β = 71.46° and γ = 89.96°. Symmetry generates all atoms from Zn at (0.178, 0.093, 0.145), N at (0.464, 0.434, 0.572), Cl at (0.000, 0.000, 0.500) and Cl at (0.262, 0.795, 0.977).